# 1
A plane-wave DFT calculation with PBE was carried out for a geometry-optimized Pr9HoIn2 structure.

abc: 5.0485 5.0485 15.4476
angles: 90.00 90.00 90.00
Closest atoms and distances in Å follow each position.
Element x y z (fractional)
Pr 0.0000 0.0000 0.0000  4 Ho 3.57, 8 Pr 3.67
Pr 0.0000 0.0000 0.3367  8 Pr 3.57-3.58, 4 In 3.57
Pr 0.0000 0.0000 0.6633  8 Pr 3.57-3.58, 4 In 3.57
Pr 0.0000 0.5000 0.1726  8 Pr 3.57-3.67, 2 In 3.59, 2 Ho 3.67
Pr 0.0000 0.5000 0.5000  4 In 3.55, 8 Pr 3.57
Pr 0.0000 0.5000 0.8274  8 Pr 3.57-3.67, 2 In 3.59, 2 Ho 3.67
Pr 0.5000 0.0000 0.1726  8 Pr 3.57-3.67, 2 In 3.59, 2 Ho 3.67
Pr 0.5000 0.0000 0.5000  4 In 3.55, 8 Pr 3.57
Pr 0.5000 0.0000 0.8274  8 Pr 3.57-3.67, 2 In 3.59, 2 Ho 3.67
Ho 0.5000 0.5000 0.0000  12 Pr 3.57-3.67
In 0.5000 0.5000 0.3382  12 Pr 3.55-3.59
In 0.5000 0.5000 0.6618  12 Pr 3.55-3.59

Computed properties:
Energy of formation from the pure elements (eV per atom): -0.17
D(E_F) (states/eV/atom): 1.265
M_tot (μB per formula unit): 0.00

***

# 2
A plane-wave DFT calculation with PBE was carried out for a geometry-optimized Pr9Ho4In11 structure.

abc: 14.1540 14.1540 3.5478
angles: 90.00 90.00 100.43
Closest atoms and distances in Å follow each position.
Element x y z (fractional)
Pr 0.0000 0.0000 0.0000  4 Ho 3.33, 4 In 3.42, 2 Pr 3.55
Pr 0.1275 0.6424 0.0000  8 In 3.39-3.61, 1 Ho 3.47, 3 Pr 3.55-3.74
Pr 0.2903 0.4620 0.0000  8 In 3.34-3.46, 4 Pr 3.55-3.74
Pr 0.3576 0.8725 0.0000  8 In 3.39-3.61, 1 Ho 3.47, 3 Pr 3.55-3.74
Pr 0.4620 0.2903 0.0000  8 In 3.34-3.46, 4 Pr 3.55-3.74
Pr 0.5380 0.7097 0.0000  8 In 3.34-3.46, 4 Pr 3.55-3.74
Pr 0.6424 0.1275 0.0000  8 In 3.39-3.61, 1 Ho 3.47, 3 Pr 3.55-3.74
Pr 0.7097 0.5380 0.0000  8 In 3.34-3.46, 4 Pr 3.55-3.74
Pr 0.8725 0.3576 0.0000  8 In 3.39-3.61, 1 Ho 3.47, 3 Pr 3.55-3.74
Ho 0.0658 0.2377 0.0000  6 In 3.20-3.44, 2 Pr 3.33-3.47, 2 Ho 3.55
Ho 0.2377 0.0658 0.0000  6 In 3.20-3.44, 2 Pr 3.33-3.47, 2 Ho 3.55
Ho 0.7623 0.9342 0.0000  6 In 3.20-3.44, 2 Pr 3.33-3.47, 2 Ho 3.55
Ho 0.9342 0.7623 0.0000  6 In 3.20-3.44, 2 Pr 3.33-3.47, 2 Ho 3.55
In 0.0774 0.4312 0.5000  3 In 3.18-3.55, 2 Ho 3.24, 6 Pr 3.40-3.46
In 0.1344 0.8656 0.5000  6 Pr 3.42-3.61, 4 Ho 3.44, 2 In 3.55
In 0.2562 0.2562 0.5000  4 Ho 3.20, 4 Pr 3.37, 2 In 3.55
In 0.3349 0.6651 0.5000  8 Pr 3.34-3.39, 3 In 3.55-3.59
In 0.4312 0.0774 0.5000  3 In 3.18-3.55, 2 Ho 3.24, 6 Pr 3.40-3.46
In 0.5000 0.5000 0.5000  8 Pr 3.42, 4 In 3.55-3.59
In 0.5688 0.9226 0.5000  3 In 3.18-3.55, 2 Ho 3.24, 6 Pr 3.40-3.46
In 0.6651 0.3349 0.5000  8 Pr 3.34-3.39, 3 In 3.55-3.59
In 0.7438 0.7438 0.5000  4 Ho 3.20, 4 Pr 3.37, 2 In 3.55
In 0.8656 0.1344 0.5000  6 Pr 3.42-3.61, 4 Ho 3.44, 2 In 3.55
In 0.9226 0.5688 0.5000  3 In 3.18-3.55, 2 Ho 3.24, 6 Pr 3.40-3.46

Computed properties:
Energy of formation from the pure elements (eV per atom): -0.40
D(E_F) (states/eV/atom): 0.922
M_tot (μB per formula unit): 0.00

***

# 3
A plane-wave DFT calculation with PBE was carried out for a geometry-optimized Pr3Ho2In structure.

abc: 8.0660 8.0660 4.9386
angles: 90.00 90.00 143.61
Closest atoms and distances in Å follow each position.
Element x y z (fractional)
Pr 0.0000 0.0000 0.0000  4 Ho 3.51, 4 In 3.53, 4 Pr 3.62
Pr 0.3307 0.6693 0.0000  6 Ho 3.53-3.57, 4 Pr 3.53-3.62, 2 In 3.58
Pr 0.6693 0.3307 0.0000  6 Ho 3.53-3.57, 4 Pr 3.53-3.62, 2 In 3.58
Ho 0.1629 0.8371 0.5000  8 Pr 3.51-3.57, 2 In 3.55, 2 Ho 3.67
Ho 0.8371 0.1629 0.5000  8 Pr 3.51-3.57, 2 In 3.55, 2 Ho 3.67
In 0.5000 0.5000 0.5000  8 Pr 3.53-3.58, 4 Ho 3.55

Computed properties:
Energy of formation from the pure elements (eV per atom): -0.15
D(E_F) (states/eV/atom): 1.252
M_tot (μB per formula unit): 0.00
Polymorph energy (0 for the lowest one) (kJ/mol of atoms): 0.0

***

# 4
A plane-wave DFT calculation with PBE was carried out for a geometry-optimized Pr8HoIn2 structure.

abc: 9.4681 9.4681 6.2752
angles: 102.49 102.49 42.66
Closest atoms and distances in Å follow each position.
Element x y z (fractional)
Pr 0.0007 0.0007 0.2403  2 Pr 3.01-3.27
Pr 0.0669 0.5884 0.3922  4 Pr 3.30-3.63, 3 In 3.34-3.59, 1 Ho 3.46
Pr 0.3660 0.3660 0.9259  3 In 3.53-3.72, 6 Pr 3.63-3.90, 1 Ho 3.82
Pr 0.4116 0.9331 0.6078  4 Pr 3.30-3.63, 3 In 3.34-3.59, 1 Ho 3.46
Pr 0.5884 0.0669 0.3922  4 Pr 3.30-3.63, 3 In 3.34-3.59, 1 Ho 3.46
Pr 0.6340 0.6340 0.0741  3 In 3.53-3.72, 6 Pr 3.63-3.90, 1 Ho 3.82
Pr 0.9331 0.4116 0.6078  4 Pr 3.30-3.63, 3 In 3.34-3.59, 1 Ho 3.46
Pr 0.9993 0.9993 0.7597  2 Pr 3.01-3.27
Ho 0.5000 0.5000 0.5000  10 Pr 3.46-3.82
In 0.1791 0.1791 0.1036  11 Pr 3.34-3.72
In 0.8209 0.8209 0.8964  11 Pr 3.34-3.72

Computed properties:
Energy of formation from the pure elements (eV per atom): -0.09
D(E_F) (states/eV/atom): 1.506
M_tot (μB per formula unit): 0.00

***

# 5
A plane-wave DFT calculation with PBE was carried out for a geometry-optimized Pr15HoIn4 structure.

abc: 5.0269 5.0269 25.6365
angles: 90.00 90.00 90.00
Closest atoms and distances in Å follow each position.
Element x y z (fractional)
Pr 0.0000 0.0000 0.0000  4 Ho 3.55, 8 Pr 3.67
Pr 0.0000 0.0000 0.2037  4 In 3.55, 8 Pr 3.57
Pr 0.0000 0.0000 0.4012  4 In 3.55, 8 Pr 3.57
Pr 0.0000 0.0000 0.5988  4 In 3.55, 8 Pr 3.57
Pr 0.0000 0.0000 0.7963  4 In 3.55, 8 Pr 3.57
Pr 0.0000 0.5000 0.1046  8 Pr 3.55-3.67, 2 In 3.59, 2 Ho 3.67
Pr 0.0000 0.5000 0.3025  4 In 3.55-3.57, 8 Pr 3.55-3.57
Pr 0.0000 0.5000 0.5000  8 Pr 3.55-3.57, 4 In 3.57
Pr 0.0000 0.5000 0.6975  4 In 3.55-3.57, 8 Pr 3.55-3.57
Pr 0.0000 0.5000 0.8954  8 Pr 3.55-3.67, 2 In 3.59, 2 Ho 3.67
Pr 0.5000 0.0000 0.1046  8 Pr 3.55-3.67, 2 In 3.59, 2 Ho 3.67
Pr 0.5000 0.0000 0.3025  4 In 3.55-3.57, 8 Pr 3.55-3.57
Pr 0.5000 0.0000 0.5000  8 Pr 3.55-3.57, 4 In 3.57
Pr 0.5000 0.0000 0.6975  4 In 3.55-3.57, 8 Pr 3.55-3.57
Pr 0.5000 0.0000 0.8954  8 Pr 3.55-3.67, 2 In 3.59, 2 Ho 3.67
Ho 0.5000 0.5000 0.0000  12 Pr 3.55-3.67
In 0.5000 0.5000 0.2047  12 Pr 3.55-3.59
In 0.5000 0.5000 0.4013  12 Pr 3.55-3.57
In 0.5000 0.5000 0.5987  12 Pr 3.55-3.57
In 0.5000 0.5000 0.7953  12 Pr 3.55-3.59

Computed properties:
Energy of formation from the pure elements (eV per atom): -0.21
D(E_F) (states/eV/atom): 1.490
M_tot (μB per formula unit): 0.00

***

# 6
A plane-wave DFT calculation with PBE was carried out for a geometry-optimized Pr12Ho7In structure.

abc: 10.1217 10.1217 10.1217
angles: 109.47 109.47 109.47
Closest atoms and distances in Å follow each position.
Element x y z (fractional)
Pr 0.0000 0.2211 0.7789  2 Ho 2.96
Pr 0.0000 0.7789 0.2211  2 Ho 2.96
Pr 0.2211 0.0000 0.7789  2 Ho 2.96
Pr 0.2211 0.2211 0.4422  2 Ho 2.96
Pr 0.2211 0.4422 0.2211  2 Ho 2.96
Pr 0.2211 0.7789 0.0000  2 Ho 2.96
Pr 0.4422 0.2211 0.2211  2 Ho 2.96
Pr 0.5578 0.7789 0.7789  2 Ho 2.96
Pr 0.7789 0.0000 0.2211  2 Ho 2.96
Pr 0.7789 0.2211 0.0000  2 Ho 2.96
Pr 0.7789 0.5578 0.7789  2 Ho 2.96
Pr 0.7789 0.7789 0.5578  2 Ho 2.96
Ho 0.0000 0.0000 0.5000  6 Pr 2.96
Ho 0.0000 0.5000 0.0000  6 Pr 2.96
Ho 0.0000 0.5000 0.5000  12 Pr 4.16-4.61
Ho 0.5000 0.0000 0.0000  6 Pr 2.96
Ho 0.5000 0.0000 0.5000  12 Pr 4.16-4.61
Ho 0.5000 0.5000 0.0000  12 Pr 4.16-4.61
Ho 0.5000 0.5000 0.5000  6 Pr 2.96
In 0.0000 0.0000 0.0000  12 Pr 3.65

Computed properties:
Energy of formation from the pure elements (eV per atom): 0.65
D(E_F) (states/eV/atom): 1.930
M_tot (μB per formula unit): 0.04
Polymorph energy (0 for the lowest one) (kJ/mol of atoms): 55.0

***

# 7
A plane-wave DFT calculation with PBE was carried out for a geometry-optimized PrHoIn2 structure.

abc: 3.8203 3.8203 7.6544
angles: 90.00 90.00 90.00
Closest atoms and distances in Å follow each position.
Element x y z (fractional)
Pr 0.0000 0.0000 0.0000  8 In 3.38
Ho 0.0000 0.0000 0.5000  8 In 3.24
In 0.5000 0.5000 0.2662  4 Ho 3.24, 4 Pr 3.38, 1 In 3.58
In 0.5000 0.5000 0.7338  4 Ho 3.24, 4 Pr 3.38, 1 In 3.58

Computed properties:
Energy of formation from the pure elements (eV per atom): -0.48
D(E_F) (states/eV/atom): 0.550
M_tot (μB per formula unit): 0.00

***

# 8
A plane-wave DFT calculation with PBE was carried out for a geometry-optimized Pr2Ho2In5 structure.

abc: 9.4940 9.4940 9.4940
angles: 81.91 134.92 115.76
Closest atoms and distances in Å follow each position.
Element x y z (fractional)
Pr 0.0268 0.1267 0.1534  6 In 3.22-3.58, 1 Pr 3.54
Pr 0.0268 0.3733 0.4001  6 In 3.22-3.58, 1 Pr 3.54
Pr 0.9732 0.6267 0.5999  6 In 3.22-3.58, 1 Pr 3.54
Pr 0.9732 0.8733 0.8466  6 In 3.22-3.58, 1 Pr 3.54
Ho 0.4273 0.6818 0.2454  4 In 3.17-3.30
Ho 0.4364 0.1818 0.7546  4 In 3.17-3.30
Ho 0.5658 0.0658 0.5000  6 In 3.08-3.25
Ho 0.5658 0.5658 0.0000  6 In 3.08-3.25
In 0.0998 0.2464 0.7697  3 In 2.96-3.21, 2 Ho 3.18-3.25, 1 Pr 3.22
In 0.0998 0.8301 0.3533  3 In 2.96-3.21, 2 Ho 3.18-3.25, 1 Pr 3.22
In 0.4767 0.3301 0.2303  3 In 2.96-3.21, 2 Ho 3.18-3.25, 1 Pr 3.22
In 0.4767 0.7464 0.6467  3 In 2.96-3.21, 2 Ho 3.18-3.25, 1 Pr 3.22
In 0.5151 0.0697 0.1411  2 In 2.80-2.96, 1 Ho 3.08
In 0.5151 0.8741 0.9455  2 In 2.80-2.96, 1 Ho 3.08
In 0.5268 0.4642 0.5625  2 Ho 3.17-3.19, 4 In 3.19-3.21, 2 Pr 3.48
In 0.9017 0.9642 0.4375  2 Ho 3.17-3.19, 4 In 3.19-3.21, 2 Pr 3.48
In 0.9286 0.3741 0.8589  2 In 2.80-2.96, 1 Ho 3.08
In 0.9286 0.5697 0.0545  2 In 2.80-2.96, 1 Ho 3.08

Computed properties:
Energy of formation from the pure elements (eV per atom): -0.28
D(E_F) (states/eV/atom): 0.748
M_tot (μB per formula unit): 0.00

***

What is the D(E_F) in the fourth record? 1.506 states/eV/atom